Record 1
Ca2AlZnH | PBE-GGA | relaxed

Cell: 5.0839 5.0839 3.8987 Å, 90.00 90.00 90.00°
Element x y z (fractional)
H 0.0000 0.0000 0.0000
Ca 0.0000 0.5000 0.0000
Ca 0.5000 0.0000 0.0000
Al 0.0000 0.0000 0.5000
Zn 0.5000 0.5000 0.5000

Values from the calculation:
Its distance to the lowest polymorph of the same formula is 0.014 eV/atom.

***

Record 2
Er5Tm2Bi4 | PBE-GGA | relaxed

Cell: 4.0854 7.3969 15.1399 Å, 123.85 97.75 90.00°
Last column: magnetic moment on the atom in μB.
Element x y z (fractional)
Tm 0.0537 0.7670 0.1073  0.28
Tm 0.9463 0.2330 0.8927  0.28
Bi 0.7270 0.6751 0.4540  0.00
Bi 0.2730 0.3249 0.5460  0.00
Bi 0.9298 0.6155 0.8596  0.01
Bi 0.0702 0.3845 0.1404  0.01
Er 0.5000 0.0000 0.0000  0.21
Er 0.8210 0.1604 0.6420  0.04
Er 0.1627 0.2933 0.3255  0.07
Er 0.1790 0.8396 0.3580  0.04
Er 0.8373 0.7067 0.6745  0.07

Values from the calculation:
The energy of formation from the pure elements comes out at -1.78 eV per formula unit.

***

Record 3
TaTlSe3 | PBE-GGA | relaxed

Cell: 5.1927 5.1927 5.1927 Å, 90.00 90.00 90.00°
Element x y z (fractional)
Ta 0.5000 0.5000 0.5000
Se 0.0000 0.5000 0.0000
Se 0.0000 0.0000 0.5000
Se 0.5000 0.0000 0.0000
Tl 0.0000 0.0000 0.0000

Values from the calculation:
The calculation puts the formation energy without anion corrections at 1.3989 eV/atom. Its distance to the lowest polymorph of the same formula is 2.038 eV/atom.

***

What is the formula in the first record?
Ca2AlZnH